# CrGe3Os

Crystalline CrGe3Os at its relaxed geometry (GGA-PBE, Alexandria).

Cell lengths 4.801, 4.801, 4.801 Å; angles 90.00, 90.00, 90.00 degrees
Site moments in Bohr magnetons follow the coordinates.
Element x y z (fractional)
Cr: 0.500 0.500 0.500  4.03
Ge: 0.000 0.000 0.500  -0.08
Ge: 0.000 0.500 0.000  -0.03
Ge: 0.500 0.000 0.000  -0.01
Os: 0.000 0.000 0.000  0.01

## Properties
N(E_F) = 3.1 states/eV/f.u.
DFT total energy = -30.988 eV per cell
Calculated volume = 110.6 Å³ per cell
Symmetry = Pm-3m, No. 221
Polymorph energy (0 for the lowest one) = 0 meV per atom
Magnetization = 4.268 μB per formula unit
Energy relative to the elements = 0.744 eV/atom

***

# PaCrGeOs

Crystalline PaCrGeOs at its relaxed geometry (GGA-PBE, Alexandria).

Cell lengths 4.584, 4.584, 4.584 Å; angles 60.00, 60.00, 60.00 degrees
Site moments in Bohr magnetons follow the coordinates.
Element x y z (fractional)
Cr: 0.750 0.750 0.750  1.07
Os: 0.250 0.250 0.250  0.00
Pa: 0.500 0.500 0.500  -0.15
Ge: 0.000 0.000 0.000  -0.03

## Properties
N(E_F) = 4.5 states/eV/f.u.
DFT total energy = -34.796 eV per cell
Calculated volume = 68.1 Å³ per cell
Symmetry = F-43m, No. 216
Magnetization = 0.907 μB per formula unit
Energy relative to the elements = 0.043 eV/atom

***

# Pu2CrGe6Os

Crystalline Pu2CrGe6Os at its relaxed geometry (GGA-PBE, Alexandria).

Cell lengths 6.083, 6.083, 12.731 Å; angles 76.18, 76.18, 60.00 degrees
Site moments in Bohr magnetons follow the coordinates.
Element x y z (fractional)
Ge: 0.669 0.225 0.881  -0.02
Ge: 0.071 0.660 0.609  -0.05
Ge: 0.340 0.340 0.391  -0.05
Ge: 0.331 0.775 0.119  -0.02
Ge: 0.775 0.775 0.119  -0.02
Cr: 0.000 0.000 0.000  1.84
Ge: 0.225 0.669 0.881  -0.02
Ge: 0.929 0.340 0.391  -0.05
Ge: 0.340 0.929 0.391  -0.05
Os: 0.427 0.427 0.720  -0.15
Os: 0.573 0.573 0.280  -0.15
Ge: 0.225 0.225 0.881  -0.02
Cr: 0.500 0.500 0.500  1.88
Pu: 0.703 0.703 0.891  -5.30
Pu: 0.113 0.113 0.662  5.27
Ge: 0.775 0.331 0.119  -0.02
Ge: 0.660 0.071 0.609  -0.05
Ge: 0.660 0.660 0.609  -0.05
Pu: 0.887 0.887 0.338  5.27
Pu: 0.297 0.297 0.109  -5.30

## Properties
N(E_F) = 22.0 states/eV/f.u.
DFT total energy = -157.251 eV per cell
Calculated volume = 392.1 Å³ per cell
Symmetry = R-3m, No. 166
Magnetization = 1.431 μB per formula unit
Energy relative to the elements = -0.140 eV/atom

***

# CrGe2OsRh

Crystalline CrGe2OsRh at its relaxed geometry (GGA-PBE, Alexandria).

Cell lengths 4.475, 4.456, 4.475 Å; angles 90.00, 90.00, 90.00 degrees
Element x y z (fractional)
Os: 0.000 0.500 0.000
Cr: 0.000 0.000 0.000
Ge: 0.000 0.000 0.500
Rh: 0.500 0.500 0.500
Ge: 0.500 0.000 0.000

## Properties
N(E_F) = 5.1 states/eV/f.u.
DFT total energy = -32.165 eV per cell
Calculated volume = 89.2 Å³ per cell
Symmetry = P4/mmm, No. 123
Magnetization = 0.000 μB per formula unit
Energy relative to the elements = 1.055 eV/atom

***

# TaCr2GeOs

Crystalline TaCr2GeOs at its relaxed geometry (GGA-PBE, Alexandria).

Cell lengths 4.252, 4.678, 4.252 Å; angles 90.00, 90.00, 90.00 degrees
Element x y z (fractional)
Ge: 0.000 0.000 0.000
Os: 0.500 0.500 0.500
Ta: 0.000 0.500 0.000
Cr: 0.500 0.000 0.000
Cr: 0.000 0.000 0.500

## Properties
N(E_F) = 9.1 states/eV/f.u.
DFT total energy = -39.748 eV per cell
Calculated volume = 84.6 Å³ per cell
Symmetry = P4/mmm, No. 123
Magnetization = 0.000 μB per formula unit
Energy relative to the elements = 1.440 eV/atom

***

# CrTc2GeOs

Crystalline CrTc2GeOs at its relaxed geometry (GGA-PBE, Alexandria).

Cell lengths 4.458, 4.443, 4.458 Å; angles 90.00, 90.00, 90.00 degrees
Site moments in Bohr magnetons follow the coordinates.
Element x y z (fractional)
Cr: 0.500 0.500 0.500  0.03
Tc: 0.000 0.000 0.500  0.05
Ge: 0.000 0.000 0.000  0.00
Os: 0.000 0.500 0.000  -0.08
Tc: 0.500 0.000 0.000  0.03

## Properties
N(E_F) = 7.2 states/eV/f.u.
DFT total energy = -37.810 eV per cell
Calculated volume = 88.3 Å³ per cell
Symmetry = P4/mmm, No. 123
Magnetization = 0.037 μB per formula unit
Energy relative to the elements = 1.679 eV/atom

***

# CrGe2P

Crystalline CrGe2P at its relaxed geometry (GGA-PBE, Alexandria).

Cell lengths 6.028, 6.028, 6.374 Å; angles 61.78, 61.78, 90.00 degrees
Site moments in Bohr magnetons follow the coordinates.
Element x y z (fractional)
P: 0.250 0.750 0.500  0.02
Ge: 0.375 0.395 0.750  -0.15
Ge: 0.605 0.125 0.250  -0.15
Cr: 0.750 0.250 0.500  3.12
Cr: 0.000 0.000 0.000  3.13
Ge: 0.145 0.625 0.250  -0.15
P: 0.500 0.500 0.000  0.02
Ge: 0.875 0.855 0.750  -0.15

## Properties
N(E_F) = 0.8 states/eV/f.u.
DFT total energy = -45.203 eV per cell
Calculated volume = 172.2 Å³ per cell
Symmetry = I-42d, No. 122
Magnetization = 3.024 μB per formula unit
Energy relative to the elements = 0.417 eV/atom

***

# Cr2Ge2P

Crystalline Cr2Ge2P at its relaxed geometry (GGA-PBE, Alexandria).

Cell lengths 3.451, 3.451, 6.664 Å; angles 74.99, 74.99, 90.00 degrees
Site moments in Bohr magnetons follow the coordinates.
Element x y z (fractional)
Ge: 0.250 0.750 0.500  -0.10
Ge: 0.750 0.250 0.500  -0.10
P: 0.000 0.000 0.000  -0.11
Cr: 0.402 0.402 0.196  1.54
Cr: 0.598 0.598 0.804  1.54

## Properties
N(E_F) = 2.7 states/eV/f.u.
DFT total energy = -32.538 eV per cell
Calculated volume = 73.9 Å³ per cell
Symmetry = I4/mmm, No. 139
Polymorph energy (0 for the lowest one) = 148 meV per atom
Magnetization = 2.820 μB per formula unit
Energy relative to the elements = 0.271 eV/atom

***

# Cr2Ge2P

Crystalline Cr2Ge2P at its relaxed geometry (GGA-PBE, Alexandria).

Cell lengths 6.292, 6.292, 3.510 Å; angles 90.00, 90.00, 90.00 degrees
Site moments in Bohr magnetons follow the coordinates.
Element x y z (fractional)
Ge: 0.645 0.855 0.500  -0.02
Ge: 0.355 0.145 0.500  -0.02
Cr: 0.841 0.659 0.000  0.37
Cr: 0.159 0.341 0.000  0.37
P: 0.500 0.500 0.000  -0.02
P: 0.000 0.000 0.000  -0.02
Cr: 0.341 0.841 0.000  0.37
Cr: 0.659 0.159 0.000  0.37
Ge: 0.145 0.645 0.500  -0.02
Ge: 0.855 0.355 0.500  -0.02

## Properties
N(E_F) = 2.9 states/eV/f.u.
DFT total energy = -66.552 eV per cell
Calculated volume = 139.0 Å³ per cell
Symmetry = P4/mbm, No. 127
Polymorph energy (0 for the lowest one) = 0 meV per atom
Magnetization = 0.687 μB per formula unit
Energy relative to the elements = 0.123 eV/atom

***

# CrGe2P2

Crystalline CrGe2P2 at its relaxed geometry (GGA-PBE, Alexandria).

Cell lengths 3.346, 3.346, 8.127 Å; angles 78.12, 78.12, 90.00 degrees
Element x y z (fractional)
P: 0.573 0.573 0.853
Ge: 0.750 0.250 0.500
P: 0.427 0.427 0.147
Ge: 0.250 0.750 0.500
Cr: 0.000 0.000 0.000

## Properties
N(E_F) = 2.5 states/eV/f.u.
DFT total energy = -26.734 eV per cell
Calculated volume = 87.0 Å³ per cell
Symmetry = I4/mmm, No. 139
Polymorph energy (0 for the lowest one) = 436 meV per atom
Magnetization = 0.003 μB per formula unit
Energy relative to the elements = 0.589 eV/atom

***

# Cr2GeP

Crystalline Cr2GeP at its relaxed geometry (GGA-PBE, Alexandria).

Cell lengths 6.589, 6.589, 5.419 Å; angles 52.56, 52.56, 90.00 degrees
Site moments in Bohr magnetons follow the coordinates.
Element x y z (fractional)
Ge: 0.000 0.000 0.000  -0.09
Cr: 0.875 0.838 0.750  2.39
P: 0.250 0.750 0.500  -0.12
Cr: 0.588 0.125 0.250  2.37
Ge: 0.750 0.250 0.500  -0.09
Cr: 0.162 0.625 0.250  2.39
P: 0.500 0.500 0.000  -0.12
Cr: 0.375 0.412 0.750  2.36

## Properties
N(E_F) = 2.0 states/eV/f.u.
DFT total energy = -56.714 eV per cell
Calculated volume = 120.1 Å³ per cell
Symmetry = I-42d, No. 122
Polymorph energy (0 for the lowest one) = 179 meV per atom
Magnetization = 4.829 μB per formula unit
Energy relative to the elements = 0.229 eV/atom

***

# Cr2GeP

Crystalline Cr2GeP at its relaxed geometry (GGA-PBE, Alexandria).

Cell lengths 4.131, 4.131, 4.131 Å; angles 60.00, 60.00, 60.00 degrees
Site moments in Bohr magnetons follow the coordinates.
Element x y z (fractional)
P: 0.000 0.000 0.000  -0.08
Cr: 0.750 0.750 0.750  0.97
Ge: 0.500 0.500 0.500  -0.06
Cr: 0.250 0.250 0.250  0.97

## Properties
N(E_F) = 3.4 states/eV/f.u.
DFT total energy = -29.073 eV per cell
Calculated volume = 49.8 Å³ per cell
Symmetry = Fm-3m, No. 225
Polymorph energy (0 for the lowest one) = 0 meV per atom
Magnetization = 1.913 μB per formula unit
Energy relative to the elements = 0.050 eV/atom

***

# CrGe2P2

Crystalline CrGe2P2 at its relaxed geometry (GGA-PBE, Alexandria).

Cell lengths 5.983, 5.983, 5.199 Å; angles 90.00, 90.00, 90.00 degrees
Site moments in Bohr magnetons follow the coordinates.
Element x y z (fractional)
Cr: 0.500 0.500 0.000  3.00
Cr: 0.000 0.000 0.000  3.01
P: 0.127 0.373 0.000  -0.04
Ge: 0.674 0.174 0.500  -0.02
Ge: 0.826 0.674 0.500  -0.02
Ge: 0.326 0.826 0.500  -0.02
P: 0.873 0.627 0.000  -0.04
P: 0.373 0.873 0.000  -0.04
P: 0.627 0.127 0.000  -0.04
Ge: 0.174 0.326 0.500  -0.02

## Properties
N(E_F) = 3.1 states/eV/f.u.
DFT total energy = -57.823 eV per cell
Calculated volume = 186.1 Å³ per cell
Symmetry = P4/mbm, No. 127
Polymorph energy (0 for the lowest one) = 0 meV per atom
Magnetization = 3.213 μB per formula unit
Energy relative to the elements = 0.153 eV/atom